# PmTm3Ru, optimized geometry, DFT PBE
# Distance to the lowest polymorph of the same formula, eV/atom: 0.1538
# Calculated formation energy, meV per atom: -119
data_PmTm3Ru
_chemical_formula_sum 'Pm1 Tm3 Ru1'
_cell_length_a 5.3347
_cell_length_b 5.3347
_cell_length_c 5.3347
_cell_angle_alpha 90.00
_cell_angle_beta 90.00
_cell_angle_gamma 90.00
_symmetry_space_group_name_H-M 'P 1'
_symmetry_Int_Tables_number 1
_symmetry_space_group_name_Hall 'P 1'
loop_
_atom_site_label
_atom_site_type_symbol
_atom_site_fract_x
_atom_site_fract_y
_atom_site_fract_z
Ru1 Ru 0.0000 0.0000 0.0000
Tm1 Tm 0.0000 0.5000 0.0000
Tm2 Tm 0.0000 0.0000 0.5000
Tm3 Tm 0.5000 0.0000 0.0000
Pm1 Pm 0.5000 0.5000 0.5000


# AsIrS2, optimized geometry, DFT PBE
# Formation energy (no corrections), eV/f.u.: 1.05
data_AsIrS2
_chemical_formula_sum 'As2 Ir2 S4'
_cell_length_a 5.6621
_cell_length_b 5.6621
_cell_length_c 6.7113
_cell_angle_alpha 65.05
_cell_angle_beta 65.05
_cell_angle_gamma 90.00
_symmetry_space_group_name_H-M 'P 1'
_symmetry_Int_Tables_number 1
_symmetry_space_group_name_Hall 'P 1'
loop_
_atom_site_label
_atom_site_type_symbol
_atom_site_fract_x
_atom_site_fract_y
_atom_site_fract_z
As1 As 0.5000 0.5000 0.0000
As2 As 0.2500 0.7500 0.5000
Ir1 Ir 0.0000 0.0000 0.0000
Ir2 Ir 0.7500 0.2500 0.5000
S1 S 0.6698 0.1250 0.2500
S2 S 0.0802 0.6250 0.2500
S3 S 0.3750 0.3302 0.7500
S4 S 0.8750 0.9198 0.7500


# NaAcCuP, optimized geometry, DFT PBE
# Calculated formation energy, meV per atom: -404
data_NaAcCuP
_chemical_formula_sum 'Na1 Ac1 Cu1 P1'
_cell_length_a 5.1330
_cell_length_b 5.1330
_cell_length_c 5.1330
_cell_angle_alpha 60.00
_cell_angle_beta 60.00
_cell_angle_gamma 60.00
_symmetry_space_group_name_H-M 'P 1'
_symmetry_Int_Tables_number 1
_symmetry_space_group_name_Hall 'P 1'
loop_
_atom_site_label
_atom_site_type_symbol
_atom_site_fract_x
_atom_site_fract_y
_atom_site_fract_z
P1 P 0.0000 0.0000 0.0000
Ac1 Ac 0.7500 0.7500 0.7500
Cu1 Cu 0.5000 0.5000 0.5000
Na1 Na 0.2500 0.2500 0.2500


# Tb3Sm3Tl, optimized geometry, DFT PBE
# Distance to the lowest polymorph of the same formula, eV/atom: 0.1875
# Calculated formation energy, meV per atom: 120
data_Tb3Sm3Tl
_chemical_formula_sum 'Tb6 Sm6 Tl2'
_cell_length_a 8.5541
_cell_length_b 8.5541
_cell_length_c 8.7837
_cell_angle_alpha 60.86
_cell_angle_beta 60.86
_cell_angle_gamma 60.00
_symmetry_space_group_name_H-M 'P 1'
_symmetry_Int_Tables_number 1
_symmetry_space_group_name_Hall 'P 1'
loop_
_atom_site_label
_atom_site_type_symbol
_atom_site_fract_x
_atom_site_fract_y
_atom_site_fract_z
Tb1 Tb 0.2557 0.4333 0.3591
Tb2 Tb 0.9519 0.2557 0.3591
Tb3 Tb 0.4333 0.9519 0.3591
Tb4 Tb 0.5667 0.0481 0.6409
Tb5 Tb 0.0481 0.7443 0.6409
Tb6 Tb 0.7443 0.5667 0.6409
Sm1 Sm 0.2859 0.7882 0.8339
Sm2 Sm 0.7882 0.0920 0.8339
Sm3 Sm 0.0920 0.2859 0.8339
Sm4 Sm 0.9080 0.7141 0.1661
Sm5 Sm 0.2118 0.9080 0.1661
Sm6 Sm 0.7141 0.2118 0.1661
Tl1 Tl 0.6648 0.6648 0.0056
Tl2 Tl 0.3352 0.3352 0.9944


# TiNiSn2, optimized geometry, DFT PBE
# Calculated formation energy, meV per atom: 34
data_TiNiSn2
_chemical_formula_sum 'Ti1 Ni1 Sn2'
_cell_length_a 4.7083
_cell_length_b 4.7083
_cell_length_c 4.7083
_cell_angle_alpha 60.00
_cell_angle_beta 60.00
_cell_angle_gamma 60.00
_symmetry_space_group_name_H-M 'P 1'
_symmetry_Int_Tables_number 1
_symmetry_space_group_name_Hall 'P 1'
loop_
_atom_site_label
_atom_site_type_symbol
_atom_site_fract_x
_atom_site_fract_y
_atom_site_fract_z
Ni1 Ni 0.5000 0.5000 0.5000
Sn1 Sn 0.2500 0.2500 0.2500
Sn2 Sn 0.7500 0.7500 0.7500
Ti1 Ti 0.0000 0.0000 0.0000


# DyHo4Al3, optimized geometry, DFT PBE
# Calculated formation energy, meV per atom: -134
data_DyHo4Al3
_chemical_formula_sum 'Dy1 Ho4 Al3'
_cell_length_a 3.3509
_cell_length_b 8.5428
_cell_length_c 8.6749
_cell_angle_alpha 119.49
_cell_angle_beta 101.14
_cell_angle_gamma 90.00
_symmetry_space_group_name_H-M 'P 1'
_symmetry_Int_Tables_number 1
_symmetry_space_group_name_Hall 'P 1'
loop_
_atom_site_label
_atom_site_type_symbol
_atom_site_fract_x
_atom_site_fract_y
_atom_site_fract_z
Dy1 Dy 0.5000 0.0000 0.0000
Ho1 Ho 0.3593 0.5560 0.7187
Ho2 Ho 0.6407 0.4440 0.2813
Ho3 Ho 0.6407 0.8373 0.2813
Ho4 Ho 0.3593 0.1627 0.7187
Al1 Al 0.0000 0.5000 0.0000
Al2 Al 0.1828 0.1827 0.3655
Al3 Al 0.8172 0.8173 0.6345


no.,total DFT energy (no corrections) (eV per atom)
1,-5.61
2,-5.18
3,-4.14
4,-4.22
5,-5.39
6,-4.40